{
  "formula": "FeO",
  "functional": "GGA+U",
  "state": "optimized geometry",
  "crystal_system": "triclinic",
  "magmom_total_mub_per_atom": 1.99,
  "e_tot_ev_per_cell": -39.9,
  "lattice_angstrom": [[3.0938, 0.0000, 0.0000], [-0.0698, 4.4456, 0.0000], [-1.4561, -2.1396, 4.6237]],
  "species": ["Fe", "Fe", "Fe", "O", "O", "O"],
  "fractional_positions": [[0.0000, 0.0000, 0.0000], [0.3211, 0.3350, 0.6698], [0.6789, 0.6650, 0.3302], [0.0000, 0.5000, 0.0000], [0.3635, 0.8358, 0.6683], [0.6365, 0.1642, 0.3317]]
}